[1]
Density functional theory data (PBE) for a relaxed Cu6PdAu8 crystal.

```
data_Cu6PdAu8
_chemical_formula_sum 'Cu18 Pd3 Au24'
_cell_length_a 7.4330
_cell_length_b 7.4330
_cell_length_c 15.8076
_cell_angle_alpha 90.00
_cell_angle_beta 90.00
_cell_angle_gamma 120.00
_space_group_name_H-M_alt 'R -3'
_space_group_IT_number 148
_space_group_name_Hall '-R 3'
loop_
_atom_site_label
_atom_site_fract_x
_atom_site_fract_y
_atom_site_fract_z
Cu1 0.0007 0.3313 0.2184
Pd1 0.0000 0.0000 0.5000
Au1 0.0000 0.0000 0.1634
Au2 0.0017 0.6739 0.6161
```

## Properties
Crystal system: trigonal
Volume in Å³/atom: 16.808
Formation energy from the elements in eV/atom: 0.035

[2]
Density functional theory data (PBE) for a relaxed CuPd2Au3 crystal.

```
data_CuPd2Au3
_chemical_formula_sum 'Cu4 Pd8 Au12'
_cell_length_a 4.986
_cell_length_b 8.622
_cell_length_c 9.263
_cell_angle_alpha 90.00
_cell_angle_beta 100.69
_cell_angle_gamma 90.00
_space_group_name_H-M_alt 'C 1 2/m 1'
_space_group_IT_number 12
loop_
_space_group_symop_operation_xyz
'x,y,z'
'-x,-y,-z'
'-x,y,-z'
'x,-y,z'
'x+1/2,y+1/2,z'
'-x+1/2,-y+1/2,-z'
'-x+1/2,y+1/2,-z'
'x+1/2,-y+1/2,z'
loop_
_atom_site_label
_atom_site_fract_x
_atom_site_fract_y
_atom_site_fract_z
Cu1 0.000 0.167 0.000
Pd1 0.000 0.000 0.500
Pd2 0.000 0.334 0.500
Pd3 0.000 0.500 0.000
Au1 0.243 0.000 0.243
Au2 0.250 0.169 0.756
```

## Properties
Crystal system: monoclinic
Volume in Å³/atom: 16.303
Formation energy from the elements in eV/atom: -0.052

[3]
Density functional theory data (PBE) for a relaxed CuPd5Au3 crystal.

```
data_CuPd5Au3
_chemical_formula_sum 'Cu4 Pd20 Au12'
_cell_length_a 7.491
_cell_length_b 7.491
_cell_length_c 11.307
_cell_angle_alpha 90.00
_cell_angle_beta 90.00
_cell_angle_gamma 90.00
_space_group_name_H-M_alt 'I 4/m c m'
_space_group_IT_number 140
_space_group_name_Hall '-I 4 2c'
loop_
_atom_site_label
_atom_site_fract_x
_atom_site_fract_y
_atom_site_fract_z
Cu1 0.000 0.500 0.250
Pd1 0.000 0.000 0.000
Pd2 0.193 0.307 0.142
Au1 0.000 0.000 0.250
Au2 0.120 0.380 0.500
```

## Properties
Crystal system: tetragonal
Volume in Å³/atom: 17.626
Formation energy from the elements in eV/atom: 0.283

Which of these has the lowest volume?
CuPd2Au3

Copy entry 2 word for word.
Density functional theory data (PBE) for a relaxed CuPd2Au3 crystal.

```
data_CuPd2Au3
_chemical_formula_sum 'Cu4 Pd8 Au12'
_cell_length_a 4.986
_cell_length_b 8.622
_cell_length_c 9.263
_cell_angle_alpha 90.00
_cell_angle_beta 100.69
_cell_angle_gamma 90.00
_space_group_name_H-M_alt 'C 1 2/m 1'
_space_group_IT_number 12
loop_
_space_group_symop_operation_xyz
'x,y,z'
'-x,-y,-z'
'-x,y,-z'
'x,-y,z'
'x+1/2,y+1/2,z'
'-x+1/2,-y+1/2,-z'
'-x+1/2,y+1/2,-z'
'x+1/2,-y+1/2,z'
loop_
_atom_site_label
_atom_site_fract_x
_atom_site_fract_y
_atom_site_fract_z
Cu1 0.000 0.167 0.000
Pd1 0.000 0.000 0.500
Pd2 0.000 0.334 0.500
Pd3 0.000 0.500 0.000
Au1 0.243 0.000 0.243
Au2 0.250 0.169 0.756
```

## Properties
Crystal system: monoclinic
Volume in Å³/atom: 16.303
Formation energy from the elements in eV/atom: -0.052

Please write out number 1 again, unchanged.
Density functional theory data (PBE) for a relaxed Cu6PdAu8 crystal.

```
data_Cu6PdAu8
_chemical_formula_sum 'Cu18 Pd3 Au24'
_cell_length_a 7.4330
_cell_length_b 7.4330
_cell_length_c 15.8076
_cell_angle_alpha 90.00
_cell_angle_beta 90.00
_cell_angle_gamma 120.00
_space_group_name_H-M_alt 'R -3'
_space_group_IT_number 148
_space_group_name_Hall '-R 3'
loop_
_atom_site_label
_atom_site_fract_x
_atom_site_fract_y
_atom_site_fract_z
Cu1 0.0007 0.3313 0.2184
Pd1 0.0000 0.0000 0.5000
Au1 0.0000 0.0000 0.1634
Au2 0.0017 0.6739 0.6161
```

## Properties
Crystal system: trigonal
Volume in Å³/atom: 16.808
Formation energy from the elements in eV/atom: 0.035